(1)
Density functional theory data (PBE-GGA) for a relaxed structure of Ca4FeSb12.

abc: 9.2876 9.2876 9.2876
angles: 109.47 109.47 109.47
Sites, in units of the cell vectors:
Ca 0.0000 0.5000 0.0000
Ca 0.5000 0.5000 0.5000
Ca 0.5000 0.0000 0.0000
Ca 0.0000 0.0000 0.5000
Sb 0.3674 0.8693 0.2367
Sb 0.8693 0.5019 0.6326
Sb 0.6326 0.8693 0.5019
Sb 0.2367 0.3674 0.8693
Sb 0.7633 0.6326 0.1307
Sb 0.5019 0.6326 0.8693
Sb 0.3674 0.1307 0.4981
Sb 0.4981 0.3674 0.1307
Sb 0.6326 0.1307 0.7633
Sb 0.1307 0.4981 0.3674
Sb 0.8693 0.2367 0.3674
Sb 0.1307 0.7633 0.6326
Fe 0.0000 0.0000 0.0000

Results
* space-group type: No. 204
* density: 4.52 g/cm3


(2)
Density functional theory data (PBE-GGA) for a relaxed structure of CaFeSb2.

abc: 4.9407 4.9407 4.9407
angles: 60.00 60.00 60.00
Sites, in units of the cell vectors:
Fe 0.5000 0.5000 0.5000
Sb 0.2500 0.2500 0.2500
Sb 0.7500 0.7500 0.7500
Ca 0.0000 0.0000 0.0000

Results
* space-group type: No. 225
* density: 6.61 g/cm3


(3)
Density functional theory data (PBE-GGA) for a relaxed structure of CaFeSb2.

abc: 5.1522 5.1522 5.1522
angles: 60.00 60.00 60.00
Sites, in units of the cell vectors:
Ca 0.5000 0.5000 0.5000
Fe 0.7500 0.7500 0.7500
Sb 0.0000 0.0000 0.0000
Sb 0.2500 0.2500 0.2500

Results
* space-group type: No. 216
* density: 5.83 g/cm3


(4)
Density functional theory data (PBE-GGA) for a relaxed structure of CaFe2Sb2.

abc: 7.7509 7.7509 3.0501
angles: 90.00 90.00 90.00
Sites, in units of the cell vectors:
Sb 0.6490 0.1490 0.0000
Sb 0.3510 0.8510 0.0000
Sb 0.1490 0.3510 0.0000
Sb 0.8510 0.6490 0.0000
Fe 0.3655 0.1345 0.5000
Fe 0.6345 0.8655 0.5000
Fe 0.8655 0.3655 0.5000
Fe 0.1345 0.6345 0.5000
Ca 0.0000 0.0000 0.0000
Ca 0.5000 0.5000 0.0000

Results
* space-group type: No. 127
* density: 7.16 g/cm3


(5)
Density functional theory data (PBE-GGA) for a relaxed structure of CaFeSb2.

abc: 3.4638 3.4638 7.7214
angles: 90.00 90.00 80.34
Sites, in units of the cell vectors:
Fe 0.5000 0.5000 0.7500
Sb 0.0000 0.0000 0.9527
Sb 0.0000 0.0000 0.5473
Ca 0.5000 0.5000 0.2500

Results
* space-group type: No. 65
* density: 6.17 g/cm3


(6)
Density functional theory data (PBE-GGA) for a relaxed structure of CaFeSb2.

abc: 7.9022 7.9022 6.4506
angles: 52.23 52.23 90.00
Sites, in units of the cell vectors:
Fe 0.7500 0.2500 0.5000
Fe 0.0000 0.0000 0.0000
Sb 0.0673 0.6250 0.2500
Sb 0.6827 0.1250 0.2500
Sb 0.8750 0.9327 0.7500
Sb 0.3750 0.3173 0.7500
Ca 0.5000 0.5000 0.0000
Ca 0.2500 0.7500 0.5000

Results
* space-group type: No. 122
* density: 5.60 g/cm3


(7)
Density functional theory data (PBE-GGA) for a relaxed structure of Ca12FeSb4.

abc: 10.2020 10.2020 10.2020
angles: 109.47 109.47 109.47
Sites, in units of the cell vectors:
Sb 0.5000 0.5000 0.5000
Sb 0.0000 0.5000 0.0000
Sb 0.0000 0.0000 0.5000
Sb 0.5000 0.0000 0.0000
Ca 0.9108 0.7467 0.1641
Ca 0.1641 0.9108 0.7467
Ca 0.4174 0.2533 0.1641
Ca 0.1641 0.4174 0.2533
Ca 0.8359 0.0892 0.2533
Ca 0.0892 0.2533 0.8359
Ca 0.2533 0.8359 0.0892
Ca 0.8359 0.5826 0.7467
Ca 0.7467 0.8359 0.5826
Ca 0.5826 0.7467 0.8359
Ca 0.7467 0.1641 0.9108
Ca 0.2533 0.1641 0.4174
Fe 0.0000 0.0000 0.0000

Results
* space-group type: No. 204
* density: 2.08 g/cm3


(8)
Density functional theory data (PBE-GGA) for a relaxed structure of CaFeSb2.

abc: 4.2476 4.1262 6.1032
angles: 90.30 90.00 90.00
Sites, in units of the cell vectors:
Sb 0.0000 0.7527 0.5009
Sb 0.0000 0.7473 0.9991
Ca 0.5000 0.2500 0.2500
Fe 0.5000 0.7500 0.7500

Results
* space-group type: No. 10
* density: 5.27 g/cm3


(9)
Density functional theory data (PBE-GGA) for a relaxed structure of CaFeSb2.

abc: 4.0527 4.0527 7.1339
angles: 73.48 73.48 60.03
Sites, in units of the cell vectors:
Fe 0.2500 0.2500 0.2500
Ca 0.7500 0.7500 0.7500
Sb 0.5236 0.5236 0.4294
Sb 0.9764 0.9764 0.0706

Results
* space-group type: No. 166
* density: 5.88 g/cm3


(10)
Density functional theory data (PBE-GGA) for a relaxed structure of CaFe2Sb2.

abc: 4.2673 4.2673 6.3156
angles: 70.26 70.26 90.00
Sites, in units of the cell vectors:
Sb 0.3635 0.3635 0.2730
Sb 0.6365 0.6365 0.7270
Ca 0.0000 0.0000 0.0000
Fe 0.7500 0.2500 0.5000
Fe 0.2500 0.7500 0.5000

Results
* space-group type: No. 139
* density: 6.50 g/cm3


(11)
Density functional theory data (PBE-GGA) for a relaxed structure of CaFeSb2.

abc: 4.1069 4.1069 6.9901
angles: 72.96 72.96 60.03
Sites, in units of the cell vectors:
Ca 0.5032 0.5032 0.4906
Sb 0.7252 0.7252 0.8245
Sb 0.9422 0.9422 0.1731
Fe 0.3294 0.3294 0.0118

Results
* space-group type: No. 160
* density: 5.86 g/cm3


(12)
Density functional theory data (PBE-GGA) for a relaxed structure of CaFe4Sb12.

abc: 7.9628 7.9628 7.9628
angles: 109.47 109.47 109.47
Sites, in units of the cell vectors:
Sb 0.5037 0.8381 0.6656
Sb 0.6656 0.5037 0.8381
Sb 0.1619 0.6656 0.8275
Sb 0.3344 0.4963 0.1619
Sb 0.6656 0.8275 0.1619
Sb 0.4963 0.1619 0.3344
Sb 0.1725 0.8381 0.3344
Sb 0.1619 0.3344 0.4963
Sb 0.3344 0.1725 0.8381
Sb 0.8275 0.1619 0.6656
Sb 0.8381 0.3344 0.1725
Sb 0.8381 0.6656 0.5037
Fe 0.5000 0.0000 0.0000
Fe 0.0000 0.0000 0.5000
Fe 0.5000 0.5000 0.5000
Fe 0.0000 0.5000 0.0000
Ca 0.0000 0.0000 0.0000

Results
* space-group type: No. 204
* density: 7.37 g/cm3


(13)
Density functional theory data (PBE-GGA) for a relaxed structure of CaFe2Sb2.

abc: 4.6114 4.6114 5.6247
angles: 65.80 65.80 90.00
Sites, in units of the cell vectors:
Fe 0.6159 0.6159 0.7683
Fe 0.3841 0.3841 0.2317
Ca 0.0000 0.0000 0.0000
Sb 0.2500 0.7500 0.5000
Sb 0.7500 0.2500 0.5000

Results
* space-group type: No. 139
* density: 6.74 g/cm3


The records above give, respectively, ΔE_f (raw) values of -0.008 0.105 0.229 0.186 -0.104 -0.160 -0.219 -0.140 -0.257 -0.163 -0.278 -0.157 -0.028 eV per atom.